[1]
The following is a DFT calculation (PBE) of a relaxed structure of K7NaO2.

Results
total moment: 0.000 Bohr magnetons per cell
symmetry: Cmmm
crystal system: orthorhombic
ΔE_f (raw): -0.57 eV per atom
total energy: -2.461 eV/atom
DOS at the Fermi energy: 0.365 states/eV/atom

abc: 5.2380 10.9185 10.9185
angles: 136.00 90.00 90.00
With the nearest neighbours (Å) after each atom.
Positions (direct):
K 0.5000 0.9516 0.6171  2 O 2.65-2.70
K 0.5000 0.6171 0.9516  2 O 2.65-2.70
K 0.0000 0.7124 0.2876  2 O 2.66
K 0.0000 0.2876 0.7124  2 O 2.66
K 0.5000 0.0484 0.3829  2 O 2.65-2.70
K 0.5000 0.5000 0.5000  4 K 4.11
K 0.5000 0.3829 0.0484  2 O 2.65-2.70
O 0.5000 0.2652 0.7348  6 K 2.65-2.70
O 0.5000 0.7348 0.2652  6 K 2.65-2.70
Na 0.0000 0.0000 0.0000  12 K 4.63-4.86

=====

[2]
The following is a DFT calculation (PBE) of a relaxed structure of K3NaO6.

Results
total moment: 4.004 Bohr magnetons per cell
symmetry: R-3c
crystal system: trigonal
ΔE_f (raw): -0.91 eV per atom
total energy: -4.349 eV/atom
DOS at the Fermi energy: 0.829 states/eV/atom

abc: 7.2418 7.2418 7.2418
angles: 106.08 106.08 106.08
With the nearest neighbours (Å) after each atom.
Positions (direct):
O 0.1393 0.3535 0.4889  1 O 1.40
O 0.3607 0.0111 0.1464  1 O 1.40
O 0.1464 0.3607 0.0111  1 O 1.40
O 0.8607 0.6465 0.5111  1 O 1.40
O 0.5111 0.8607 0.6465  1 O 1.40
O 0.8536 0.6393 0.9889  1 O 1.40
O 0.0111 0.1464 0.3607  1 O 1.40
O 0.6393 0.9889 0.8536  1 O 1.40
O 0.3535 0.4889 0.1393  1 O 1.40
O 0.6465 0.5111 0.8607  1 O 1.40
O 0.4889 0.1393 0.3535  1 O 1.40
O 0.9889 0.8536 0.6393  1 O 1.40
K 0.2500 0.6824 0.8176  4 O 2.59-2.76
K 0.8176 0.2500 0.6824  4 O 2.59-2.76
K 0.3176 0.1824 0.7500  4 O 2.59-2.76
K 0.6824 0.8176 0.2500  4 O 2.59-2.76
K 0.1824 0.7500 0.3176  4 O 2.59-2.76
K 0.7500 0.3176 0.1824  4 O 2.59-2.76
Na 0.0000 0.0000 0.0000  6 O 2.50
Na 0.5000 0.5000 0.5000  6 O 2.50

=====

[3]
The following is a DFT calculation (PBE) of a relaxed structure of K3NaO.

Results
energy above the lowest structure with this stoichiometry: 0.0 kJ per mole of atoms
total moment: 0.000 Bohr magnetons per cell
symmetry: P2_1/c
crystal system: monoclinic
ΔE_f (raw): -0.63 eV per atom
total energy: -2.541 eV/atom
DOS at the Fermi energy: 0.364 states/eV/atom

abc: 7.7113 11.0100 9.7952
angles: 97.31 90.00 90.00
With the nearest neighbours (Å) after each atom.
Positions (direct):
K 0.7224 0.7277 0.7027  2 O 2.72-2.73
K 0.2168 0.0195 0.5320  2 O 2.68
K 0.9346 0.3037 0.5686  1 O 2.61
K 0.0654 0.6963 0.4314  1 O 2.61
K 0.7832 0.9805 0.4680  2 O 2.68
K 0.4346 0.1963 0.9314  1 O 2.61
K 0.7168 0.4805 0.9680  2 O 2.68
K 0.7776 0.2277 0.2027  2 O 2.72-2.73
K 0.2224 0.7723 0.7973  2 O 2.72-2.73
K 0.5654 0.8037 0.0686  1 O 2.61
K 0.2832 0.5195 0.0320  2 O 2.68
K 0.2776 0.2723 0.2973  2 O 2.72-2.73
Na 0.4286 0.4923 0.6846  1 O 2.27
Na 0.0714 0.9923 0.1846  1 O 2.27
Na 0.9286 0.0077 0.8154  1 O 2.27
Na 0.5714 0.5077 0.3154  1 O 2.27
O 0.4912 0.6318 0.8688  1 Na 2.27
O 0.9912 0.8682 0.6312  1 Na 2.27
O 0.5088 0.3682 0.1312  1 Na 2.27
O 0.0088 0.1318 0.3688  1 Na 2.27

=====

[4]
The following is a DFT calculation (PBE) of a relaxed structure of KNaO2.

Results
total moment: 0.000 Bohr magnetons per cell
symmetry: I-42d
crystal system: tetragonal
ΔE_f (raw): -0.62 eV per atom
total energy: -3.704 eV/atom
DOS at the Fermi energy: 0.000 states/eV/atom

abc: 4.2709 4.2709 8.0150
angles: 74.55 74.55 90.00
With the nearest neighbours (Å) after each atom.
Positions (direct):
O 0.4354 0.1250 0.2500  2 Na 2.16, 2 O 2.20
O 0.3146 0.6250 0.2500  2 Na 2.16, 2 O 2.20
O 0.3750 0.5646 0.7500  2 Na 2.16, 2 O 2.20
O 0.8750 0.6854 0.7500  2 Na 2.16, 2 O 2.20
Na 0.5000 0.5000 0.0000  4 O 2.16
Na 0.2500 0.7500 0.5000  4 O 2.16
K 0.7500 0.2500 0.5000  4 O 2.85, 4 Na 3.02
K 0.0000 0.0000 0.0000  4 O 2.85, 4 Na 3.02